Material: Ti2CoRe
Method: DFT, PBE-GGA
State: optimized geometry

Unit cell a=6.0988 b=6.0988 c=6.0988 alpha=90.00 beta=90.00 gamma=90.00
Closest atoms and distances in Å follow each position.
Fractional coordinates of all 16 atoms:
Ti  0.2500  0.2500  0.2500  4 Co 2.64, 4 Re 2.64
Ti  0.2500  0.2500  0.7500  4 Co 2.64, 4 Re 2.64
Ti  0.2500  0.7500  0.2500  4 Co 2.64, 4 Re 2.64
Ti  0.2500  0.7500  0.7500  4 Co 2.64, 4 Re 2.64
Ti  0.7500  0.2500  0.2500  4 Co 2.64, 4 Re 2.64
Ti  0.7500  0.2500  0.7500  4 Co 2.64, 4 Re 2.64
Ti  0.7500  0.7500  0.2500  4 Co 2.64, 4 Re 2.64
Ti  0.7500  0.7500  0.7500  4 Co 2.64, 4 Re 2.64
Co  0.0000  0.0000  0.0000  8 Ti 2.64
Co  0.0000  0.5000  0.5000  8 Ti 2.64
Co  0.5000  0.0000  0.5000  8 Ti 2.64
Co  0.5000  0.5000  0.0000  8 Ti 2.64
Re  0.0000  0.0000  0.5000  8 Ti 2.64
Re  0.0000  0.5000  0.0000  8 Ti 2.64
Re  0.5000  0.0000  0.0000  8 Ti 2.64
Re  0.5000  0.5000  0.5000  8 Ti 2.64

Calculated values
Energy above the lowest structure with this stoichiometry: 0 meV per atom
ΔH_f (0 K): -0.4392 eV/atom
N(E_F): 0.8 states/eV/f.u.
Symmetry: Fm-3m (225)

=====

Material: AcTlInGa
Method: DFT, PBE-GGA
State: optimized geometry

Unit cell a=7.6891 b=7.6891 c=7.6891 alpha=90.00 beta=90.00 gamma=90.00
Closest atoms and distances in Å follow each position.
Fractional coordinates of all 16 atoms:
Ac  0.0000  0.0000  0.0000  4 Tl 3.33, 4 Ga 3.33
Ac  0.0000  0.5000  0.5000  4 Tl 3.33, 4 Ga 3.33
Ac  0.5000  0.0000  0.5000  4 Tl 3.33, 4 Ga 3.33
Ac  0.5000  0.5000  0.0000  4 Tl 3.33, 4 Ga 3.33
Tl  0.2500  0.2500  0.7500  4 Ac 3.33, 4 In 3.33
Tl  0.2500  0.7500  0.2500  4 Ac 3.33, 4 In 3.33
Tl  0.7500  0.2500  0.2500  4 Ac 3.33, 4 In 3.33
Tl  0.7500  0.7500  0.7500  4 In 3.33, 4 Ac 3.33
In  0.0000  0.0000  0.5000  4 Tl 3.33, 4 Ga 3.33
In  0.0000  0.5000  0.0000  4 Tl 3.33, 4 Ga 3.33
In  0.5000  0.0000  0.0000  4 Tl 3.33, 4 Ga 3.33
In  0.5000  0.5000  0.5000  4 Tl 3.33, 4 Ga 3.33
Ga  0.2500  0.2500  0.2500  4 Ac 3.33, 4 In 3.33
Ga  0.2500  0.7500  0.7500  4 Ac 3.33, 4 In 3.33
Ga  0.7500  0.2500  0.7500  4 Ac 3.33, 4 In 3.33
Ga  0.7500  0.7500  0.2500  4 Ac 3.33, 4 In 3.33

Calculated values
ΔH_f (0 K): -0.2665 eV/atom
N(E_F): 1.6 states/eV/f.u.
Symmetry: F-43m (216)

=====

Material: CrCo3
Method: DFT, PBE-GGA
State: optimized geometry

Unit cell a=2.4828 b=2.4828 c=24.5978 alpha=90.00 beta=90.00 gamma=120.00
Closest atoms and distances in Å follow each position.
Fractional coordinates of all 12 atoms:
Cr  0.0000  0.0000  0.0000  6 Cr 2.48, 6 Co 2.51
Cr  0.3333  0.6667  0.6667  6 Cr 2.48, 6 Co 2.51
Cr  0.6667  0.3333  0.3333  6 Cr 2.48, 6 Co 2.51
Co  0.0000  0.0000  0.2496  9 Co 2.48-2.49, 3 Cr 2.51
Co  0.0000  0.0000  0.5000  12 Co 2.48-2.49
Co  0.0000  0.0000  0.7504  9 Co 2.48-2.49, 3 Cr 2.51
Co  0.3333  0.6667  0.1667  12 Co 2.48-2.49
Co  0.3333  0.6667  0.4171  9 Co 2.48-2.49, 3 Cr 2.51
Co  0.3333  0.6667  0.9162  9 Co 2.48-2.49, 3 Cr 2.51
Co  0.6667  0.3333  0.0838  9 Co 2.48-2.49, 3 Cr 2.51
Co  0.6667  0.3333  0.5829  9 Co 2.48-2.49, 3 Cr 2.51
Co  0.6667  0.3333  0.8333  12 Co 2.48-2.49

Calculated values
Energy above the lowest structure with this stoichiometry: 95 meV per atom
ΔH_f (0 K): 0.0899 eV/atom
N(E_F): 5.0 states/eV/f.u.
Symmetry: R-3m (166)

=====

Material: ScCrSi3
Method: DFT, PBE-GGA
State: optimized geometry

Unit cell a=4.8600 b=4.8600 c=4.8600 alpha=90.00 beta=90.00 gamma=90.00
Closest atoms and distances in Å follow each position.
Fractional coordinates of all 5 atoms:
Sc  0.0000  0.0000  0.0000  6 Si 2.43
Cr  0.5000  0.5000  0.5000  12 Si 3.44
Si  0.0000  0.0000  0.5000  2 Sc 2.43
Si  0.0000  0.5000  0.0000  2 Sc 2.43
Si  0.5000  0.0000  0.0000  2 Sc 2.43

Calculated values
Energy above the lowest structure with this stoichiometry: 1406 meV per atom
E_form (uncorrected): 753 kJ/mol of formula units
N(E_F): 6.1 states/eV/f.u.
Symmetry: Pm-3m (221)

=====

Material: CeTm5Cd4
Method: DFT, PBE-GGA
State: optimized geometry

Unit cell a=3.6427 b=3.6427 c=19.6707 alpha=90.00 beta=90.00 gamma=90.00
Closest atoms and distances in Å follow each position.
Fractional coordinates of all 10 atoms:
Ce  0.0000  0.0000  0.0000  8 Tm 3.43, 4 Ce 3.64
Tm  0.5000  0.5000  0.1155  4 Cd 3.20, 4 Ce 3.43
Tm  0.5000  0.5000  0.3092  8 Cd 3.18-3.21
Tm  0.5000  0.5000  0.5000  8 Cd 3.19
Tm  0.5000  0.5000  0.6908  8 Cd 3.18-3.21
Tm  0.5000  0.5000  0.8845  4 Cd 3.20, 4 Ce 3.43
Cd  0.0000  0.0000  0.2119  8 Tm 3.20-3.21
Cd  0.0000  0.0000  0.4040  8 Tm 3.18-3.19
Cd  0.0000  0.0000  0.5960  8 Tm 3.18-3.19
Cd  0.0000  0.0000  0.7881  8 Tm 3.20-3.21

Calculated values
ΔH_f (0 K): -0.2248 eV/atom
N(E_F): 11.0 states/eV/f.u.
Symmetry: P4/mmm (123)

=====

Material: AcPrTh2P4
Method: DFT, PBE-GGA
State: optimized geometry

Unit cell a=7.3186 b=4.2253 c=7.3432 alpha=90.00 beta=109.45 gamma=90.00
Closest atoms and distances in Å follow each position.
Fractional coordinates of all 8 atoms:
Ac  0.0000  0.0000  0.0000  6 P 3.07
Pr  0.5000  0.5000  0.0000  6 P 3.03
Th  0.0000  0.5000  0.5000  6 P 2.96
Th  0.5000  0.0000  0.5000  6 P 2.91-2.92
P  0.2504  0.0000  0.7377  3 Th 2.92-2.96, 2 Pr 3.03, 1 Ac 3.07
P  0.2600  0.5000  0.2664  3 Th 2.91-2.96, 1 Pr 3.03, 2 Ac 3.07
P  0.7400  0.5000  0.7336  3 Th 2.91-2.96, 1 Pr 3.03, 2 Ac 3.07
P  0.7496  0.0000  0.2623  3 Th 2.92-2.96, 2 Pr 3.03, 1 Ac 3.07

Calculated values
ΔH_f (0 K): -1.5220 eV/atom
N(E_F): 4.0 states/eV/f.u.
Symmetry: P2/m (10)

=====

Material: Al2P6Pt
Method: DFT, PBE-GGA
State: optimized geometry

Unit cell a=7.2035 b=7.2035 c=3.1782 alpha=90.00 beta=90.00 gamma=120.00
Closest atoms and distances in Å follow each position.
Fractional coordinates of all 9 atoms:
Al  0.3333  0.6667  0.0000  9 P 2.62-2.63
Al  0.6667  0.3333  0.0000  9 P 2.62-2.63
P  0.0000  0.2754  0.0000  2 P 2.35, 2 Pt 2.54
P  0.0000  0.5161  0.5000  2 P 2.35, 4 Al 2.62
P  0.2754  0.0000  0.0000  2 P 2.35, 2 Pt 2.54
P  0.4839  0.4839  0.5000  2 P 2.35, 4 Al 2.62
P  0.5161  0.0000  0.5000  2 P 2.35, 4 Al 2.62
P  0.7246  0.7246  0.0000  2 P 2.35, 2 Pt 2.54
Pt  0.0000  0.0000  0.5000  6 P 2.54

Calculated values
ΔH_f (0 K): 0.1091 eV/atom
N(E_F): 5.0 states/eV/f.u.
Symmetry: P-62m (189)

=====

Material: CsCuHg2Pd
Method: DFT, PBE-GGA
State: optimized geometry

Unit cell a=5.4319 b=5.4319 c=5.1001 alpha=90.00 beta=90.00 gamma=90.00
Closest atoms and distances in Å follow each position.
Fractional coordinates of all 5 atoms:
Cs  0.0000  0.0000  0.0000  8 Hg 3.73, 4 Cu 3.84
Cu  0.5000  0.5000  0.0000  2 Pd 2.55
Hg  0.0000  0.5000  0.5000  2 Pd 2.72
Hg  0.5000  0.0000  0.5000  2 Pd 2.72
Pd  0.5000  0.5000  0.5000  2 Cu 2.55, 4 Hg 2.72

Calculated values
ΔH_f (0 K): -0.0254 eV/atom
N(E_F): 1.0 states/eV/f.u.
Symmetry: P4/mmm (123)

=====

Material: BaIO4F
Method: DFT, PBE-GGA
State: optimized geometry

Unit cell a=6.6278 b=6.6278 c=7.8236 alpha=100.04 beta=100.04 gamma=79.62
Closest atoms and distances in Å follow each position.
Fractional coordinates of all 14 atoms:
Ba  0.1933  0.1933  0.1414  2 F 2.48-2.50
Ba  0.8067  0.8067  0.8586  2 F 2.48-2.50
I  0.3488  0.3488  0.7303  4 O 1.79-1.80
I  0.6512  0.6512  0.2697  4 O 1.79-1.80
O  0.1496  0.4867  0.8554  1 I 1.80
O  0.2424  0.2424  0.5142  1 I 1.79
O  0.4775  0.4775  0.2803  1 I 1.79
O  0.4867  0.1496  0.8554  1 I 1.80
O  0.5133  0.8504  0.1446  1 I 1.80
O  0.5225  0.5225  0.7197  1 I 1.79
O  0.7576  0.7576  0.4858  1 I 1.79
O  0.8504  0.5133  0.1446  1 I 1.80
F  0.0462  0.0462  0.8390  2 Ba 2.48-2.50
F  0.9538  0.9538  0.1610  2 Ba 2.48-2.50

Calculated values
E_form (uncorrected): -897 kJ/mol of formula units
N(E_F): 0.0 states/eV/f.u.
Symmetry: C2/m (12)

=====

Material: BeBiSe3
Method: DFT, PBE-GGA
State: optimized geometry

Unit cell a=4.7068 b=4.7068 c=4.7068 alpha=90.00 beta=90.00 gamma=90.00
Closest atoms and distances in Å follow each position.
Fractional coordinates of all 5 atoms:
Be  0.0000  0.0000  0.0000  6 Se 2.35
Bi  0.5000  0.5000  0.5000  12 Se 3.33
Se  0.0000  0.0000  0.5000  2 Be 2.35
Se  0.0000  0.5000  0.0000  2 Be 2.35
Se  0.5000  0.0000  0.0000  2 Be 2.35

Calculated values
Energy above the lowest structure with this stoichiometry: 0 meV per atom
E_form (uncorrected): 15 kJ/mol of formula units
N(E_F): 2.8 states/eV/f.u.
Symmetry: Pm-3m (221)

=====

Material: Pu2In2Br7
Method: DFT, PBE-GGA
State: optimized geometry

Unit cell a=7.5558 b=7.5558 c=7.5263 alpha=93.95 beta=93.95 gamma=72.19
Closest atoms and distances in Å follow each position.
Fractional coordinates of all 11 atoms:
Pu  0.2440  0.2440  0.0363  6 Br 2.92-2.97
Pu  0.7560  0.7560  0.9637  6 Br 2.92-2.97
In  0.2353  0.7647  0.5000  2 Br 3.06
In  0.7647  0.2353  0.5000  2 Br 3.06
Br  0.0000  0.0000  0.0000  2 Pu 2.97
Br  0.0509  0.4917  0.7512  2 Pu 2.95-2.97
Br  0.4577  0.4577  0.2439  1 Pu 2.92, 2 In 3.06
Br  0.4917  0.0509  0.7512  2 Pu 2.95-2.97
Br  0.5083  0.9491  0.2488  2 Pu 2.95-2.97
Br  0.5423  0.5423  0.7561  1 Pu 2.92, 2 In 3.06
Br  0.9491  0.5083  0.2488  2 Pu 2.95-2.97

Calculated values
E_form (uncorrected): -1265 kJ/mol of formula units
N(E_F): 28.6 states/eV/f.u.
Symmetry: C2/m (12)

=====

Material: Ta3CrTc
Method: DFT, PBE-GGA
State: optimized geometry

Unit cell a=4.5395 b=4.5395 c=4.5395 alpha=90.00 beta=90.00 gamma=90.00
Closest atoms and distances in Å follow each position.
Fractional coordinates of all 5 atoms:
Ta  0.0000  0.0000  0.5000  2 Cr 2.27
Ta  0.0000  0.5000  0.0000  2 Cr 2.27
Ta  0.5000  0.0000  0.0000  2 Cr 2.27
Cr  0.0000  0.0000  0.0000  6 Ta 2.27
Tc  0.5000  0.5000  0.5000  12 Ta 3.21

Calculated values
Energy above the lowest structure with this stoichiometry: 0 meV per atom
ΔH_f (0 K): 1.1573 eV/atom
N(E_F): 8.2 states/eV/f.u.
Symmetry: Pm-3m (221)